Run i
Crystalline PrDy3Y5 at its relaxed geometry. Source: the Alexandria database, functional PBE.

Lattice parameters (Å, degrees): 9.2407 9.2407 11.2604 89.45 89.45 39.32
Last column: nearest neighbours and their distance in Å.
Fractional coordinates of all 18 atoms:
Dy (0.4337, 0.8957, 0.0829)  4 Y 3.37-3.76, 2 Dy 3.46-3.50, 1 Pr 3.52
Dy (0.0000, 0.0000, 0.5000)  2 Pr 2.93
Dy (0.1043, 0.5663, 0.4171)  4 Y 3.37-3.76, 2 Dy 3.46-3.50, 1 Pr 3.52
Dy (0.8957, 0.4337, 0.5829)  4 Y 3.37-3.76, 2 Dy 3.46-3.50, 1 Pr 3.52
Dy (0.0000, 0.0000, 0.0000)  2 Pr 2.93
Dy (0.5663, 0.1043, 0.9171)  4 Y 3.37-3.76, 2 Dy 3.46-3.50, 1 Pr 3.52
Y (0.3813, 0.9692, 0.7514)  3 Y 3.28-3.56, 2 Dy 3.37-3.52
Y (0.9692, 0.3813, 0.2514)  3 Y 3.28-3.56, 2 Dy 3.37-3.52
Y (0.4413, 0.8850, 0.4187)  2 Dy 3.37-3.44, 4 Y 3.39-3.72, 1 Pr 3.55
Y (0.5587, 0.1150, 0.5813)  2 Dy 3.37-3.44, 4 Y 3.39-3.72, 1 Pr 3.55
Y (0.6187, 0.0308, 0.2486)  3 Y 3.28-3.56, 2 Dy 3.37-3.52
Y (0.3985, 0.6015, 0.7500)  2 Pr 2.93-3.28, 2 Y 3.28
Y (0.8850, 0.4413, 0.9187)  2 Dy 3.37-3.44, 4 Y 3.39-3.72, 1 Pr 3.55
Y (0.6015, 0.3985, 0.2500)  2 Pr 2.93-3.28, 2 Y 3.28
Y (0.1150, 0.5587, 0.0813)  2 Dy 3.37-3.44, 4 Y 3.39-3.72, 1 Pr 3.55
Y (0.0308, 0.6187, 0.7486)  3 Y 3.28-3.56, 2 Dy 3.37-3.52
Pr (0.1297, 0.8703, 0.2500)  2 Dy 2.93, 1 Y 2.93
Pr (0.8703, 0.1297, 0.7500)  2 Dy 2.93, 1 Y 2.93

## Properties
total moment: 0.00 μB/f.u.
space-group type: C2/c, No. 15
DOS(E_F): 14.03 states/eV/f.u.

=====

Run ii
Crystalline PrDy3Y5 at its relaxed geometry. Source: the Alexandria database, functional PBE.

Lattice parameters (Å, degrees): 7.0375 9.7792 9.7792 120.00 90.00 90.00
Last column: nearest neighbours and their distance in Å.
Fractional coordinates of all 18 atoms:
Y (0.7500, 0.0000, 0.6720)  5 Dy 3.22-3.52
Y (0.7500, 0.3280, 0.3280)  5 Dy 3.22-3.52
Y (0.0000, 0.6667, 0.3333)  8 Y 3.52-3.73, 6 Dy 3.66
Y (0.2500, 0.6720, 0.6720)  5 Dy 3.22-3.52
Y (0.5000, 0.3333, 0.6667)  8 Y 3.52-3.73, 6 Dy 3.66
Y (0.2500, 0.3280, 0.0000)  5 Dy 3.22-3.52
Y (0.0000, 0.3333, 0.6667)  8 Y 3.52-3.73, 6 Dy 3.66
Y (0.5000, 0.6667, 0.3333)  8 Y 3.52-3.73, 6 Dy 3.66
Y (0.7500, 0.6720, 0.0000)  5 Dy 3.22-3.52
Y (0.2500, 0.0000, 0.3280)  5 Dy 3.22-3.52
Dy (0.2500, 0.6573, 0.0000)  5 Y 3.22-3.52
Dy (0.2500, 0.3427, 0.3427)  5 Y 3.22-3.52
Dy (0.7500, 0.3427, 0.0000)  5 Y 3.22-3.52
Dy (0.7500, 0.0000, 0.3427)  5 Y 3.22-3.52
Dy (0.2500, 0.0000, 0.6573)  5 Y 3.22-3.52
Dy (0.7500, 0.6573, 0.6573)  5 Y 3.22-3.52
Pr (0.0000, 0.0000, 0.0000)  2 Pr 3.52, 6 Y 3.66, 6 Dy 3.78
Pr (0.5000, 0.0000, 0.0000)  2 Pr 3.52, 6 Y 3.66, 6 Dy 3.78

## Properties
total moment: 0.00 μB/f.u.
space-group type: P6_3/mcm, No. 193
DOS(E_F): 15.46 states/eV/f.u.

=====

If we sort the structures by their calculated energies, the order from most to least stable is run ii, run i.

=====

Run i
Crystalline PrDyY4 at its relaxed geometry. Source: the Alexandria database, functional PBE.

Lattice parameters (Å, degrees): 9.8828 5.6985 8.9851 129.36 90.00 90.00
Last column: nearest neighbours and their distance in Å.
Fractional coordinates of all 12 atoms:
Pr (0.5000, 0.5000, 0.0000)  2 Dy 3.47, 12 Y 3.73-3.74
Pr (0.0000, 0.0000, 0.0000)  2 Dy 3.47, 12 Y 3.73-3.74
Y (0.8336, 0.2464, 0.7460)  5 Y 3.29-3.53
Y (0.1666, 0.2472, 0.7462)  5 Y 3.29-3.53
Y (0.6666, 0.2528, 0.2538)  5 Y 3.29-3.53
Y (0.6664, 0.7464, 0.7460)  5 Y 3.29-3.53
Y (0.8334, 0.7528, 0.2538)  5 Y 3.29-3.53
Y (0.3334, 0.7472, 0.7462)  5 Y 3.29-3.53
Y (0.1664, 0.7536, 0.2540)  5 Y 3.29-3.53
Y (0.3336, 0.2536, 0.2540)  5 Y 3.29-3.53
Dy (0.5000, 0.0000, 0.5000)  2 Pr 3.47, 12 Y 3.70-3.71
Dy (0.0000, 0.5000, 0.5000)  2 Pr 3.47, 12 Y 3.70-3.71

## Properties
total moment: 0.00 μB/f.u.
space-group type: P6/mmm, No. 191
DOS(E_F): 9.52 states/eV/f.u.

=====

Run ii
Crystalline PrDyY4 at its relaxed geometry. Source: the Alexandria database, functional PBE.

Lattice parameters (Å, degrees): 4.5571 4.5576 11.1548 90.00 90.00 90.00
Last column: nearest neighbours and their distance in Å.
Fractional coordinates of all 6 atoms:
Y (0.4973, 0.0013, 0.7562)  4 Y 3.22, 2 Dy 3.56
Y (0.9972, 0.5013, 0.2476)  4 Y 3.22, 2 Dy 3.56
Y (0.4973, 0.0013, 0.2476)  4 Y 3.22, 2 Dy 3.56
Y (0.9973, 0.5013, 0.7561)  4 Y 3.22, 2 Dy 3.56
Dy (0.4973, 0.5013, 0.0019)  8 Y 3.56
Pr (0.9973, 0.0013, 0.5019)  8 Y 3.64

## Properties
total moment: 0.00 μB/f.u.
space-group type: P4/mmm, No. 123
DOS(E_F): 12.90 states/eV/f.u.

=====

If we sort the structures by their calculated energies, the order from most to least stable is run i, run ii.

=====

Run i
Crystalline Pr3Dy4Y at its relaxed geometry. Source: the Alexandria database, functional PBE.

Lattice parameters (Å, degrees): 6.3306 7.3660 11.5761 90.00 90.00 90.00
Last column: nearest neighbours and their distance in Å.
Fractional coordinates of all 16 atoms:
Dy (0.4807, 0.8790, 0.2518)  6 Dy 3.55-3.63, 1 Y 3.56, 5 Pr 3.61-3.73
Dy (0.6474, 0.1221, 0.5000)  6 Dy 3.55-3.63, 4 Pr 3.59-3.66, 2 Y 3.62-3.74
Dy (0.6475, 0.1203, 0.0000)  6 Dy 3.56-3.63, 4 Pr 3.59-3.75, 2 Y 3.65-3.68
Dy (0.9807, 0.1210, 0.2482)  6 Dy 3.55-3.63, 1 Y 3.56, 5 Pr 3.61-3.73
Dy (0.1474, 0.8779, 0.0000)  6 Dy 3.55-3.63, 4 Pr 3.59-3.66, 2 Y 3.62-3.74
Dy (0.4807, 0.8790, 0.7482)  6 Dy 3.55-3.63, 1 Y 3.56, 5 Pr 3.61-3.73
Dy (0.1475, 0.8797, 0.5000)  6 Dy 3.56-3.63, 4 Pr 3.59-3.75, 2 Y 3.65-3.68
Dy (0.9807, 0.1210, 0.7518)  6 Dy 3.55-3.63, 1 Y 3.56, 5 Pr 3.61-3.73
Pr (0.1470, 0.3710, 0.5000)  4 Pr 3.60, 6 Dy 3.61-3.75, 2 Y 3.68-3.71
Pr (0.4837, 0.3726, 0.2495)  6 Dy 3.59-3.73, 2 Y 3.60-3.61, 4 Pr 3.60-3.68
Pr (0.9837, 0.6274, 0.2505)  6 Dy 3.59-3.73, 2 Y 3.60-3.61, 4 Pr 3.60-3.68
Pr (0.6470, 0.6290, 0.0000)  4 Pr 3.60, 6 Dy 3.61-3.75, 2 Y 3.68-3.71
Pr (0.9837, 0.6274, 0.7495)  6 Dy 3.59-3.73, 2 Y 3.60-3.61, 4 Pr 3.60-3.68
Pr (0.4837, 0.3726, 0.7505)  6 Dy 3.59-3.73, 2 Y 3.60-3.61, 4 Pr 3.60-3.68
Y (0.6446, 0.6300, 0.5000)  6 Dy 3.56-3.74, 6 Pr 3.60-3.71
Y (0.1446, 0.3700, 0.0000)  6 Dy 3.56-3.74, 6 Pr 3.60-3.71

## Properties
total moment: 0.00 μB/f.u.
space-group type: Pmn2_1, No. 31
DOS(E_F): 14.39 states/eV/f.u.

=====

Run ii
Crystalline Pr3Dy4Y at its relaxed geometry. Source: the Alexandria database, functional PBE.

Lattice parameters (Å, degrees): 7.2188 7.2134 10.2239 90.00 90.00 90.00
Last column: nearest neighbours and their distance in Å.
Fractional coordinates of all 16 atoms:
Pr (0.7485, 0.5606, 0.7501)  8 Dy 3.60-3.62, 2 Y 3.61, 2 Pr 3.62
Pr (0.2515, 0.0606, 0.7499)  8 Dy 3.60-3.62, 2 Y 3.61, 2 Pr 3.62
Pr (0.7485, 0.5606, 0.2499)  8 Dy 3.60-3.62, 2 Y 3.61, 2 Pr 3.62
Pr (0.2515, 0.0606, 0.2501)  8 Dy 3.60-3.62, 2 Y 3.61, 2 Pr 3.62
Pr (0.0004, 0.3107, 0.0000)  8 Dy 3.61, 4 Pr 3.62
Pr (0.9996, 0.8107, 0.5000)  8 Dy 3.61, 4 Pr 3.62
Dy (0.9999, 0.3107, 0.5000)  6 Pr 3.61-3.62, 2 Y 3.61, 4 Dy 3.61
Dy (0.4999, 0.8105, 0.5000)  6 Pr 3.61, 2 Y 3.61, 4 Dy 3.61
Dy (0.5001, 0.3105, 0.0000)  6 Pr 3.61, 2 Y 3.61, 4 Dy 3.61
Dy (0.7497, 0.0606, 0.7501)  6 Pr 3.60-3.62, 4 Dy 3.61, 2 Y 3.61
Dy (0.0001, 0.8107, 0.0000)  6 Pr 3.61-3.62, 2 Y 3.61, 4 Dy 3.61
Dy (0.7497, 0.0606, 0.2499)  6 Pr 3.60-3.62, 4 Dy 3.61, 2 Y 3.61
Dy (0.2503, 0.5606, 0.2501)  6 Pr 3.60-3.62, 4 Dy 3.61, 2 Y 3.61
Dy (0.2503, 0.5606, 0.7499)  6 Pr 3.60-3.62, 4 Dy 3.61, 2 Y 3.61
Y (0.5000, 0.3105, 0.5000)  4 Pr 3.61, 8 Dy 3.61
Y (0.5000, 0.8105, 0.0000)  4 Pr 3.61, 8 Dy 3.61

## Properties
total moment: 0.00 μB/f.u.
space-group type: Pmna, No. 53
DOS(E_F): 11.18 states/eV/f.u.

=====

If we sort the structures by their calculated energies, the order from most to least stable is run ii, run i.

=====

Run i
Crystalline Pr3Dy2Y6 at its relaxed geometry. Source: the Alexandria database, functional PBE.

Lattice parameters (Å, degrees): 3.6136 3.6136 32.2115 86.78 86.78 60.00
Last column: nearest neighbours and their distance in Å.
Fractional coordinates of all 11 atoms:
Pr (0.0000, 0.0000, 0.0000)  6 Pr 3.61, 6 Y 3.62
Pr (0.2721, 0.2721, 0.1838)  6 Pr 3.61, 6 Y 3.62-3.63
Pr (0.7279, 0.7279, 0.8162)  6 Pr 3.61, 6 Y 3.62-3.63
Y (0.9080, 0.9080, 0.2761)  3 Dy 3.55, 6 Y 3.61, 3 Pr 3.63
Y (0.0920, 0.0920, 0.7239)  3 Dy 3.55, 6 Y 3.61, 3 Pr 3.63
Y (0.3640, 0.3640, 0.9081)  6 Y 3.61, 6 Pr 3.62
Y (0.6360, 0.6360, 0.0919)  6 Y 3.61, 6 Pr 3.62
Y (0.1817, 0.1817, 0.4549)  3 Dy 3.55, 9 Y 3.57-3.61
Y (0.8183, 0.8183, 0.5451)  3 Dy 3.55, 9 Y 3.57-3.61
Dy (0.5449, 0.5449, 0.3654)  6 Y 3.55, 6 Dy 3.61
Dy (0.4551, 0.4551, 0.6346)  6 Y 3.55, 6 Dy 3.61

## Properties
total moment: 0.00 μB/f.u.
space-group type: R-3m, No. 166
DOS(E_F): 14.49 states/eV/f.u.

=====

Run ii
Crystalline Pr3Dy2Y6 at its relaxed geometry. Source: the Alexandria database, functional PBE.

Lattice parameters (Å, degrees): 5.7872 6.7555 11.9795 78.08 61.16 64.64
Last column: nearest neighbours and their distance in Å.
Fractional coordinates of all 11 atoms:
Y (0.8440, 0.6995, 0.3057)  3 Dy 3.37-3.55, 3 Y 3.57-3.67, 2 Pr 3.65-3.70
Y (0.5435, 0.3005, 0.3057)  3 Dy 3.37-3.55, 3 Y 3.57-3.67, 2 Pr 3.65-3.70
Y (0.4565, 0.6995, 0.6943)  3 Dy 3.37-3.55, 3 Y 3.57-3.67, 2 Pr 3.65-3.70
Y (0.7109, 0.0000, 0.7897)  4 Pr 3.36-3.64, 2 Dy 3.43, 4 Y 3.57
Y (0.2891, 0.0000, 0.2103)  4 Pr 3.36-3.64, 2 Dy 3.43, 4 Y 3.57
Y (0.1560, 0.3005, 0.6943)  3 Dy 3.37-3.55, 3 Y 3.57-3.67, 2 Pr 3.65-3.70
Pr (0.0000, 0.0000, 0.0000)  6 Pr 3.57-3.85, 8 Y 3.64-3.70
Pr (0.7079, 0.5843, 0.0000)  2 Pr 3.07, 2 Y 3.36
Pr (0.2921, 0.4157, 0.0000)  2 Pr 3.07, 2 Y 3.36
Dy (0.1305, 0.7390, 0.5000)  1 Dy 3.19, 8 Y 3.37-3.55
Dy (0.8695, 0.2610, 0.5000)  1 Dy 3.19, 8 Y 3.37-3.55

## Properties
total moment: 0.00 μB/f.u.
space-group type: C2/m, No. 12
DOS(E_F): 17.33 states/eV/f.u.

=====

If we sort the structures by their calculated energies, the order from most to least stable is run i, run ii.